The following is a DFT calculation (PBE) of crystalline ZnGaAs2Br at its relaxed geometry.

Unit cell a=5.003 b=5.003 c=5.245 alpha=90.00 beta=90.00 gamma=90.00
Last column: magnetic moment on the atom in μB.
Sites, in units of the cell vectors:
Zn 0.500 0.500 0.500  0.00
As 0.000 0.500 0.000  0.23
As 0.500 0.000 0.000  0.23
Ga 0.000 0.000 0.000  0.00
Br 0.000 0.000 0.500  0.09

## Properties
As for the raw formation energy: 0.551 eV per atom.